(1)
A plane-wave DFT calculation with PBE was carried out for a relaxed structure of CeTm3Co2.

The density of states at the Fermi level comes out at 32.96 states/eV/cell. The calculated volume comes out at 561.9 Å³ per cell. For the energy above the most stable polymorph in this dataset, the calculation gives 0.0 meV per atom. As for the formation energy: -0.19 eV/atom. For the spin magnetization, the calculation gives 0.000 μB/atom.

The structure belongs to space group C2/m (No. 12); the cell edges are 16.310, 3.672 and 11.450 Å and the angles 90.00°, 124.97° and 90.00°. The distinct sites, in fractional coordinates, are Ce at (0.164, 0.000, 0.260), Tm at (0.081, 0.500, 0.442), Tm at (0.083, 0.500, 0.942), Tm at (0.153, 0.000, 0.748), Co at (0.233, 0.000, 0.049) and Co at (0.239, 0.000, 0.572).

(2)
A plane-wave DFT calculation with PBE was carried out for a relaxed structure of CaSbOs2.

The density of states at the Fermi level comes out at 22.20 states/eV/cell. The calculated volume comes out at 294.6 Å³ per cell. As for the formation energy from raw total energies: 0.684 eV per atom. For the spin magnetization, the calculation gives 0.001 μB/atom.

The structure belongs to space group F-43m (No. 216); the cell edges are 6.654, 6.654 and 6.654 Å and the angles 90.00°, 90.00° and 90.00°. The distinct sites, in fractional coordinates, are Ca at (0.000, 0.000, 0.000), Sb at (0.250, 0.250, 0.250), Os at (0.000, 0.000, 0.500) and Os at (0.250, 0.250, 0.750).

(3)
A plane-wave DFT calculation with PBE was carried out for a relaxed structure of Dy3HgPd5.

The density of states at the Fermi level comes out at 9.45 states/eV/cell. The calculated volume comes out at 360.8 Å³ per cell. As for the formation energy: -0.79 eV/atom. For the spin magnetization, the calculation gives 0.000 μB/atom.

The structure belongs to space group P6_3/mcm (No. 193); the cell edges are 8.4631, 8.4631 and 5.8172 Å and the angles 90.00°, 90.00° and 120.00°. The distinct sites, in fractional coordinates, are Dy at (0.0000, 0.3566, 0.2500), Hg at (0.0000, 0.0000, 0.0000), Pd at (0.0000, 0.3177, 0.7500) and Pd at (0.3333, 0.6667, 0.0000).

(4)
A plane-wave DFT calculation with PBE was carried out for a relaxed structure of Tc2Br8F.

The density of states at the Fermi level comes out at 14.84 states/eV/cell. The calculated volume comes out at 774.9 Å³ per cell. As for the formation energy from raw total energies: -0.489 eV per atom. For the spin magnetization, the calculation gives 0.455 μB/atom.

The structure belongs to space group C2/m (No. 12); the cell edges are 12.673, 8.810 and 7.180 Å and the angles 90.00°, 104.81° and 90.00°. The distinct sites, in fractional coordinates, are Tc at (0.070, 0.000, 0.296), Br at (0.050, 0.277, 0.279), Br at (0.135, 0.000, 0.654), Br at (0.247, 0.500, 0.743) and F at (0.000, 0.000, 0.000).

(5)
A plane-wave DFT calculation with PBE was carried out for a relaxed structure of CdInBr3.

The density of states at the Fermi level comes out at 3.31 states/eV/cell. The calculated volume comes out at 169.7 Å³ per cell. As for the formation energy from raw total energies: -0.418 eV per atom. For the energy above the most stable polymorph in this dataset, the calculation gives 357.9 meV per atom. For the spin magnetization, the calculation gives 0.044 μB/atom.

The structure belongs to space group Pm-3m (No. 221); the cell edges are 5.537, 5.537 and 5.537 Å and the angles 90.00°, 90.00° and 90.00°. The distinct sites, in fractional coordinates, are Cd at (0.000, 0.000, 0.000), In at (0.500, 0.500, 0.500) and Br at (0.000, 0.500, 0.500).

(6)
A plane-wave DFT calculation with PBE was carried out for a relaxed structure of La2Al2Ge3.

The density of states at the Fermi level comes out at 13.52 states/eV/cell. The calculated volume comes out at 671.5 Å³ per cell. As for the formation energy: -0.61 eV/atom. For the spin magnetization, the calculation gives 0.000 μB/atom.

The structure belongs to space group C2/m (No. 12); the cell edges are 16.064, 4.332 and 12.034 Å and the angles 90.00°, 126.70° and 90.00°. The distinct sites, in fractional coordinates, are La at (0.100, 0.000, 0.442), La at (0.233, 0.000, 0.839), Al at (0.049, 0.500, 0.812), Al at (0.091, 0.000, 0.153), Ge at (0.083, 0.500, 0.625), Ge at (0.108, 0.000, 0.955) and Ge at (0.156, 0.500, 0.303).

(7)
A plane-wave DFT calculation with PBE was carried out for a relaxed structure of SmHoPb6.

The density of states at the Fermi level comes out at 4.23 states/eV/cell. The calculated volume comes out at 234.1 Å³ per cell. As for the formation energy: -0.30 eV/atom. For the spin magnetization, the calculation gives 0.000 μB/atom.

The structure belongs to space group P4/mmm (No. 123); the cell edges are 4.890, 4.890 and 9.789 Å and the angles 90.00°, 90.00° and 90.00°. The distinct sites, in fractional coordinates, are Sm at (0.000, 0.000, 0.000), Ho at (0.000, 0.000, 0.500), Pb at (0.000, 0.500, 0.253), Pb at (0.500, 0.500, 0.000) and Pb at (0.500, 0.500, 0.500).

(8)
A plane-wave DFT calculation with PBE was carried out for a relaxed structure of CoSiB.

The density of states at the Fermi level comes out at 7.56 states/eV/cell. The calculated volume comes out at 129.1 Å³ per cell. As for the formation energy from raw total energies: -0.027 eV per atom. For the spin magnetization, the calculation gives 0.069 μB/atom.

The structure belongs to space group C2/m (No. 12); the cell edges are 6.559, 3.030 and 6.525 Å and the angles 90.00°, 95.70° and 90.00°. The distinct sites, in fractional coordinates, are Co at (0.163, 0.000, 0.116), Si at (0.122, 0.000, 0.728) and B at (0.215, 0.000, 0.430).

(9)
A plane-wave DFT calculation with PBE was carried out for a relaxed structure of Na3CaC.

The density of states at the Fermi level comes out at 3.81 states/eV/cell. The calculated volume comes out at 299.5 Å³ per cell. For the energy above the most stable polymorph in this dataset, the calculation gives 989.6 meV per atom. As for the formation energy: 1.84 eV/atom. For the spin magnetization, the calculation gives 0.239 μB/atom.

The structure belongs to space group Pm-3m (No. 221); the cell edges are 6.690, 6.690 and 6.690 Å and the angles 90.00°, 90.00° and 90.00°. The distinct sites, in fractional coordinates, are Na at (0.000, 0.000, 0.500), Ca at (0.000, 0.000, 0.000) and C at (0.500, 0.500, 0.500).

(10)
A plane-wave DFT calculation with PBE was carried out for a relaxed structure of RbMoPb2.

The density of states at the Fermi level comes out at 11.67 states/eV/cell. The calculated volume comes out at 457.9 Å³ per cell. For the energy above the most stable polymorph in this dataset, the calculation gives 190.6 meV per atom. As for the formation energy: 0.85 eV/atom. For the spin magnetization, the calculation gives 0.794 μB/atom.

The structure belongs to space group Fm-3m (No. 225); the cell edges are 7.708, 7.708 and 7.708 Å and the angles 90.00°, 90.00° and 90.00°. The distinct sites, in fractional coordinates, are Rb at (0.000, 0.000, 0.000), Mo at (0.000, 0.000, 0.500) and Pb at (0.250, 0.250, 0.250).

(11)
A plane-wave DFT calculation with PBE was carried out for a relaxed structure of YTlAs2O8.

The calculated volume comes out at 330.7 Å³ per cell. As for the formation energy from raw total energies: -1.650 eV per atom. For the spin magnetization, the calculation gives 0.000 μB/atom.

The structure belongs to space group I-4m2 (No. 119); the cell edges are 7.215, 7.215 and 6.353 Å and the angles 90.00°, 90.00° and 90.00°. The distinct sites, in fractional coordinates, are Y at (0.000, 0.000, 0.000), Tl at (0.000, 0.500, 0.750), As at (0.000, 0.000, 0.500), As at (0.000, 0.500, 0.250), O at (0.000, 0.178, 0.682) and O at (0.000, 0.319, 0.073).